A relaxed structure of V2Ni4B. Source: Alexandria, functional PBE.

Values from the calculation:
V ... 12.1 A^3/atom
Crystal system ... tetragonal
Uncorrected energy ... -46.4 eV per cell
Formation enthalpy at 0 K ... 0.241 eV per atom

Geometry as POSCAR:
```
V2Ni4B
1.0
-0.923 2.666 2.351
-2.070 -2.378 1.884
3.455 -1.315 5.716
Ni V B
4 2 1
direct
0.000 0.500 0.000
0.500 0.000 0.000
0.847 0.847 0.306
0.153 0.153 0.694
0.668 0.668 0.663
0.332 0.332 0.337
0.000 0.000 0.000
```